VASP calculation (PBE) on a relaxed structure of Hf3ScRh.

Summary:
Magnetization (μB per atom): 0.0000
Energy of formation (kcal/mol of atoms): 30.69
E above lowest polymorph (eV per atom): 1.528

abc: 4.8642 4.8642 4.8642
angles: 90.00 90.00 90.00
Last column: nearest neighbours and their distance in Å.
Space group Pm-3m (No. 221)
Inequivalent atoms, fractional coordinates:
Hf: 0.0000 0.0000 0.5000 x3  2 Sc 2.43
Sc: 0.0000 0.0000 0.0000 x1  6 Hf 2.43
Rh: 0.5000 0.5000 0.5000 x1  12 Hf 3.44